DFT (SCAN) results for a crystal of CuHgSe2 relaxed with PBEsol.

a = 5.792 Å, b = 5.792 Å, c = 6.989 Å
α = 114.48°, β = 114.48°, γ = 90.00°
Positions (direct):
Cu1 0.750 0.250 0.500
Cu2 0.500 0.500 0.000
Hg1 0.250 0.750 0.500
Hg2 0.000 0.000 0.000
Se1 0.830 0.375 0.250
Se2 0.420 0.875 0.250
Se3 0.625 0.580 0.750
Se4 0.125 0.170 0.750

Output
energy relative to the elements, uncorrected: -59 kJ/mol of formula units
E_tot: -31.0345 eV per atom
volume: 23.75 Å³ per atom



DFT (SCAN) results for a crystal of CaCuW3 relaxed with PBEsol.

a = 4.493 Å, b = 4.493 Å, c = 4.493 Å
α = 90.00°, β = 90.00°, γ = 90.00°
Positions (direct):
Ca1 0.000 0.000 0.000
Cu1 0.500 0.500 0.500
W1 0.000 0.500 0.000
W2 0.000 0.000 0.500
W3 0.500 0.000 0.000

Output
E_tot: -43.1640 eV per atom
volume: 18.14 Å³ per atom
ΔH_f (0 K): 349.4 kJ per mole of atoms



DFT (SCAN) results for a crystal of SiAg2H relaxed with PBEsol.

a = 4.248 Å, b = 4.248 Å, c = 4.248 Å
α = 60.00°, β = 60.00°, γ = 60.00°
Positions (direct):
H1 0.000 0.000 0.000
Si1 0.500 0.500 0.500
Ag1 0.250 0.250 0.250
Ag2 0.750 0.750 0.750

Output
E_tot: -18.3296 eV per atom
volume: 13.55 Å³ per atom



DFT (SCAN) results for a crystal of ScAgTe2 relaxed with PBEsol.

a = 3.858 Å, b = 4.022 Å, c = 6.714 Å
α = 89.99°, β = 106.70°, γ = 90.00°
Positions (direct):
Sc1 0.696 0.125 0.392
Te1 0.026 0.125 0.052
Te2 0.280 0.625 0.559
Ag1 0.498 0.625 0.997

Output
energy relative to the elements, uncorrected: -304 kJ/mol of formula units
E_tot: -30.8138 eV per atom
volume: 24.95 Å³ per atom



DFT (SCAN) results for a crystal of YTe3Ru relaxed with PBEsol.

a = 5.145 Å, b = 5.145 Å, c = 5.145 Å
α = 90.00°, β = 90.00°, γ = 90.00°
Positions (direct):
Y1 0.500 0.500 0.500
Ru1 0.000 0.000 0.000
Te1 0.000 0.500 0.000
Te2 0.000 0.000 0.500
Te3 0.500 0.000 0.000

Output
energy relative to the elements, uncorrected: -55 kJ/mol of formula units
E_tot: -34.9989 eV per atom
volume: 27.24 Å³ per atom



DFT (SCAN) results for a crystal of HfBePtN2 relaxed with PBEsol.

a = 3.951 Å, b = 3.968 Å, c = 3.968 Å
α = 90.00°, β = 90.00°, γ = 90.00°
Positions (direct):
Be1 0.500 0.000 0.000
Hf1 0.500 0.500 0.500
Pt1 0.000 0.000 0.000
N1 0.000 0.000 0.500
N2 0.000 0.500 0.000

Output
energy relative to the elements, uncorrected: 476 kJ/mol of formula units
E_tot: -30.1742 eV per atom
volume: 12.44 Å³ per atom



DFT (SCAN) results for a crystal of Mg5Tl24 relaxed with PBEsol.

a = 10.174 Å, b = 10.174 Å, c = 10.174 Å
α = 109.47°, β = 109.47°, γ = 109.47°
Positions (direct):
Mg1 0.335 0.335 0.335
Mg2 0.000 0.665 0.000
Mg3 0.000 0.000 0.665
Mg4 0.665 0.000 0.000
Mg5 0.000 0.000 0.000
Tl1 0.622 0.813 0.622
Tl2 0.809 0.187 0.809
Tl3 0.191 0.000 0.378
Tl4 0.378 0.000 0.191
Tl5 0.813 0.622 0.622
Tl6 0.187 0.809 0.809
Tl7 0.000 0.378 0.191
Tl8 0.000 0.191 0.378
Tl9 0.622 0.622 0.813
Tl10 0.809 0.809 0.187
Tl11 0.378 0.191 0.000
Tl12 0.191 0.378 0.000
Tl13 0.585 0.277 0.585
Tl14 0.308 0.723 0.308
Tl15 0.692 0.000 0.415
Tl16 0.415 0.000 0.692
Tl17 0.277 0.585 0.585
Tl18 0.723 0.308 0.308
Tl19 0.000 0.415 0.692
Tl20 0.000 0.692 0.415
Tl21 0.585 0.585 0.277
Tl22 0.308 0.308 0.723
Tl23 0.415 0.692 0.000
Tl24 0.692 0.415 0.000

Output
E_tot: -60.6772 eV per atom
volume: 27.95 Å³ per atom
ΔH_f (0 K): 6.1 kJ per mole of atoms



DFT (SCAN) results for a crystal of PAuN2 relaxed with PBEsol.

a = 2.775 Å, b = 2.775 Å, c = 6.266 Å
α = 77.21°, β = 77.21°, γ = 60.00°
Positions (direct):
P1 0.500 0.500 0.500
Au1 0.000 0.000 0.000
N1 0.884 0.884 0.347
N2 0.116 0.116 0.653

Output
energy relative to the elements, uncorrected: 0 kJ/mol of formula units
E_tot: -24.5333 eV per atom
volume: 10.10 Å³ per atom



DFT (SCAN) results for a crystal of SmCu6 relaxed with PBEsol.

a = 4.957 Å, b = 7.921 Å, c = 9.912 Å
α = 90.00°, β = 90.00°, γ = 90.00°
Positions (direct):
Sm1 0.250 0.259 0.436
Sm2 0.750 0.741 0.564
Sm3 0.250 0.759 0.064
Sm4 0.750 0.241 0.936
Cu1 0.250 0.147 0.144
Cu2 0.750 0.853 0.856
Cu3 0.250 0.647 0.356
Cu4 0.750 0.353 0.644
Cu5 0.250 0.817 0.756
Cu6 0.750 0.183 0.244
Cu7 0.250 0.317 0.744
Cu8 0.750 0.683 0.256
Cu9 0.250 0.562 0.594
Cu10 0.750 0.438 0.406
Cu11 0.250 0.062 0.906
Cu12 0.750 0.938 0.094
Cu13 0.250 0.902 0.517
Cu14 0.750 0.098 0.483
Cu15 0.250 0.402 0.983
Cu16 0.750 0.598 0.017
Cu17 0.005 0.435 0.192
Cu18 0.505 0.565 0.808
Cu19 0.495 0.935 0.308
Cu20 0.995 0.065 0.692
Cu21 0.995 0.565 0.808
Cu22 0.495 0.435 0.192
Cu23 0.505 0.065 0.692
Cu24 0.005 0.935 0.308

Output
E_tot: -19.5285 eV per atom
volume: 13.90 Å³ per atom
ΔH_f (0 K): -14.6 kJ per mole of atoms



DFT (SCAN) results for a crystal of KTlPCl2 relaxed with PBEsol.

a = 5.701 Å, b = 5.701 Å, c = 5.785 Å
α = 90.00°, β = 90.00°, γ = 90.00°
Site moments in Bohr magnetons follow the coordinates.
Positions (direct):
P1 0.000 0.000 0.500  1.20
Tl1 0.500 0.500 0.500  0.01
K1 0.000 0.000 0.000  0.03
Cl1 0.000 0.500 0.000  0.08
Cl2 0.500 0.000 0.000  0.08

Output
energy relative to the elements, uncorrected: -127 kJ/mol of formula units
E_tot: -21.6722 eV per atom
volume: 37.60 Å³ per atom



DFT (SCAN) results for a crystal of CdS2O7 relaxed with PBEsol.

a = 5.217 Å, b = 8.324 Å, c = 13.049 Å
α = 90.00°, β = 90.00°, γ = 91.19°
Positions (direct):
Cd1 0.200 0.330 0.348
Cd2 0.300 0.170 0.848
Cd3 0.800 0.670 0.652
Cd4 0.700 0.830 0.152
S1 0.676 0.309 0.524
S2 0.824 0.191 0.024
S3 0.324 0.691 0.476
S4 0.176 0.809 0.976
S5 0.697 0.413 0.185
S6 0.803 0.087 0.685
S7 0.303 0.587 0.815
S8 0.197 0.913 0.315
O1 0.846 0.366 0.444
O2 0.654 0.134 0.944
O3 0.154 0.634 0.556
O4 0.346 0.866 0.056
O5 0.656 0.417 0.611
O6 0.844 0.083 0.111
O7 0.344 0.583 0.389
O8 0.156 0.917 0.889
O9 0.417 0.430 0.825
O10 0.083 0.070 0.325
O11 0.583 0.570 0.175
O12 0.917 0.930 0.675
O13 0.177 0.850 0.434
O14 0.323 0.650 0.934
O15 0.823 0.150 0.566
O16 0.677 0.350 0.066
O17 0.571 0.753 0.512
O18 0.929 0.747 0.012
O19 0.429 0.247 0.488
O20 0.071 0.253 0.988
O21 0.468 0.915 0.289
O22 0.032 0.585 0.789
O23 0.532 0.085 0.711
O24 0.968 0.415 0.211
O25 0.041 0.800 0.256
O26 0.459 0.700 0.756
O27 0.959 0.200 0.744
O28 0.541 0.300 0.244

Output
energy relative to the elements, uncorrected: -1447 kJ/mol of formula units
E_tot: -10.8291 eV per atom
volume: 14.16 Å³ per atom



DFT (SCAN) results for a crystal of Rb2TlAs2 relaxed with PBEsol.

a = 5.514 Å, b = 7.617 Å, c = 7.617 Å
α = 90.00°, β = 90.00°, γ = 90.00°
Positions (direct):
Tl1 0.000 0.000 0.000
Tl2 0.000 0.500 0.500
As1 0.000 0.388 0.888
As2 0.000 0.888 0.612
As3 0.000 0.612 0.112
As4 0.000 0.112 0.388
Rb1 0.500 0.177 0.677
Rb2 0.500 0.677 0.823
Rb3 0.500 0.823 0.323
Rb4 0.500 0.323 0.177

Output
E_tot: -31.1810 eV per atom
volume: 31.99 Å³ per atom
ΔH_f (0 K): -32.6 kJ per mole of atoms